Entry 1:
Below is a relaxed BiSbPb crystal, with properties calculated at the PBE level.

Properties
energy relative to the elements, uncorrected = 62 kJ/mol of formula units
E = -3.69 eV per atom
D(E_F) = 3.95 states/eV/f.u.
energy relative to the lowest polymorph listed for this composition = 0.1691 eV per atom
magnetization = 0.0 μB/cell

Lattice parameters (Å, degrees): 5.338 5.338 5.338 60.00 60.00 60.00
Atoms (fractional coordinates):
Pb  0.500  0.500  0.500
Bi  0.000  0.000  0.000
Sb  0.250  0.250  0.250

Entry 2:
Below is a relaxed Er4Si3Pt crystal, with properties calculated at the PBE level.

Properties
energy relative to the elements, uncorrected = -715 kJ/mol of formula units
E = -6.00 eV per atom
D(E_F) = 4.73 states/eV/f.u.
magnetization = 0.0 μB/cell

Lattice parameters (Å, degrees): 4.165 3.891 10.614 90.00 90.00 90.00
Atoms (fractional coordinates):
Er  0.000  0.500  0.858
Er  0.000  0.000  0.138
Er  0.500  0.500  0.357
Er  0.500  0.000  0.642
Pt  0.500  0.500  0.081
Si  0.000  0.500  0.575
Si  0.500  0.000  0.919
Si  0.000  0.000  0.430

Entry 3:
Below is a relaxed LaPa5S6 crystal, with properties calculated at the PBE level.

Properties
energy relative to the elements, uncorrected = -1926 kJ/mol of formula units
E = -8.09 eV per atom
D(E_F) = 18.87 states/eV/f.u.
magnetization = 0.0 μB/cell

Lattice parameters (Å, degrees): 6.981 6.615 6.799 60.89 80.49 70.15
Atoms (fractional coordinates):
S  0.743  0.087  0.341
S  0.257  0.913  0.659
S  0.249  0.260  0.000
S  0.751  0.740  0.000
S  0.257  0.572  0.341
S  0.743  0.428  0.659
Pa  0.000  0.668  0.664
Pa  0.500  0.161  0.677
Pa  0.500  0.500  0.000
Pa  0.000  0.332  0.336
Pa  0.500  0.839  0.323
La  0.000  0.000  0.000

Entry 4:
Below is a relaxed ReAuO3 crystal, with properties calculated at the PBE level.

Properties
energy relative to the elements, uncorrected = 554 kJ/mol of formula units
E = -4.97 eV per atom
D(E_F) = 4.33 states/eV/f.u.
magnetization = 4.5 μB/cell

Lattice parameters (Å, degrees): 4.049 4.049 4.049 90.00 90.00 90.00
Atoms (fractional coordinates):
O  0.000  0.000  0.500
O  0.500  0.000  0.000
O  0.000  0.500  0.000
Au  0.000  0.000  0.000
Re  0.500  0.500  0.500

Entry 5:
Below is a relaxed CaLa2YIr crystal, with properties calculated at the PBE level.

Properties
E_form = -0.1979 eV/atom
E = -5.63 eV per atom
D(E_F) = 6.32 states/eV/f.u.
energy relative to the lowest polymorph listed for this composition = 0.1398 eV per atom
magnetization = 0.0 μB/cell

Lattice parameters (Å, degrees): 5.596 5.596 5.733 90.00 90.00 90.00
Atoms (fractional coordinates):
La  0.500  0.000  0.000
La  0.000  0.500  0.000
Y  0.500  0.500  0.500
Ca  0.000  0.000  0.500
Ir  0.000  0.000  0.000

Entry 6:
Below is a relaxed U3C2N2 crystal, with properties calculated at the PBE level.

Properties
energy relative to the elements, uncorrected = -372 kJ/mol of formula units
E = -10.40 eV per atom
D(E_F) = 11.75 states/eV/f.u.
magnetization = 3.5 μB/cell

Lattice parameters (Å, degrees): 3.458 5.937 6.125 110.66 90.00 106.93
Atoms (fractional coordinates):
C  0.628  0.255  0.918
C  0.372  0.745  0.082
U  0.206  0.411  0.717
U  0.000  0.000  0.000
U  0.794  0.589  0.283
N  0.826  0.653  0.669
N  0.174  0.347  0.331

Entry 7:
Below is a relaxed MnBBr2 crystal, with properties calculated at the PBE level.

Properties
energy relative to the elements, uncorrected = 590 kJ/mol of formula units
E = -3.27 eV per atom
D(E_F) = 7.12 states/eV/f.u.
energy relative to the lowest polymorph listed for this composition = 0.5952 eV per atom
magnetization = 0.0 μB/cell

Lattice parameters (Å, degrees): 4.492 4.492 4.492 60.00 60.00 60.00
Atoms (fractional coordinates):
Br  0.750  0.750  0.750
Br  0.250  0.250  0.250
B  0.000  0.000  0.000
Mn  0.500  0.500  0.500

Entry 8:
Below is a relaxed CdCoRu crystal, with properties calculated at the PBE level.

Properties
E_form = 0.2538 eV/atom
E = -5.51 eV per atom
D(E_F) = 3.27 states/eV/f.u.
energy relative to the lowest polymorph listed for this composition = 0.0000 eV per atom
magnetization = 0.6 μB/cell

Lattice parameters (Å, degrees): 6.099 6.099 6.099 153.75 153.75 37.47
Atoms (fractional coordinates):
Co  0.317  0.317  0.000
Ru  0.688  0.688  0.000
Cd  0.995  0.995  0.000

Entry 9:
Below is a relaxed HgTe2F11 crystal, with properties calculated at the PBE level.

Properties
energy relative to the elements, uncorrected = -2544 kJ/mol of formula units
E = -3.82 eV per atom
D(E_F) = 3.13 states/eV/f.u.
magnetization = 0.0 μB/cell

Lattice parameters (Å, degrees): 9.452 8.635 8.635 67.56 56.82 56.82
Atoms (fractional coordinates):
F  0.197  0.192  0.808
F  0.614  0.212  0.046
F  0.500  0.500  0.500
F  0.805  0.442  0.822
F  0.695  0.678  0.058
F  0.431  0.942  0.322
F  0.872  0.954  0.788
F  0.569  0.058  0.678
F  0.114  0.546  0.712
F  0.195  0.558  0.178
F  0.628  0.712  0.546
F  0.305  0.322  0.942
F  0.931  0.822  0.442
F  0.886  0.454  0.288
F  0.386  0.788  0.954
F  0.803  0.808  0.192
F  0.372  0.288  0.454
F  0.000  0.000  0.000
F  0.303  0.692  0.308
F  0.069  0.178  0.558
F  0.697  0.308  0.692
F  0.128  0.046  0.212
Te  0.349  0.320  0.680
Te  0.151  0.820  0.180
Te  0.651  0.680  0.320
Te  0.849  0.180  0.820
Hg  0.750  0.750  0.750
Hg  0.250  0.250  0.250

Entry 10:
Below is a relaxed Sm4PPtBr2 crystal, with properties calculated at the PBE level.

Properties
energy relative to the elements, uncorrected = -1014 kJ/mol of formula units
E = -5.52 eV per atom
D(E_F) = 5.93 states/eV/f.u.
magnetization = 0.0 μB/cell

Lattice parameters (Å, degrees): 4.071 7.445 7.604 107.37 90.00 90.00
Atoms (fractional coordinates):
Sm  0.500  0.771  0.793
Sm  0.000  0.727  0.203
Sm  0.500  0.229  0.207
Sm  0.000  0.273  0.797
Br  0.500  0.000  0.500
Br  0.000  0.500  0.500
Pt  0.500  0.500  0.000
P  0.000  0.000  0.000

Entry 11:
Below is a relaxed Pr6SiP2Br3 crystal, with properties calculated at the PBE level.

Properties
energy relative to the elements, uncorrected = -1587 kJ/mol of formula units
E = -5.53 eV per atom
D(E_F) = 5.13 states/eV/f.u.
magnetization = 0.0 μB/cell

Lattice parameters (Å, degrees): 4.222 8.890 9.845 106.75 102.38 90.00
Atoms (fractional coordinates):
Pr  0.989  0.771  0.977
Pr  0.343  0.890  0.685
Pr  0.677  0.555  0.355
Pr  0.323  0.445  0.645
Pr  0.011  0.229  0.023
Pr  0.657  0.110  0.315
Si  0.500  0.000  0.000
Br  0.834  0.169  0.669
Br  0.500  0.500  0.000
Br  0.166  0.831  0.331
P  0.832  0.666  0.665
P  0.168  0.334  0.335

Entry 12:
Below is a relaxed AcNd2Th crystal, with properties calculated at the PBE level.

Properties
E_form = 0.1922 eV/atom
E = -5.07 eV per atom
D(E_F) = 9.16 states/eV/f.u.
energy relative to the lowest polymorph listed for this composition = 0.1482 eV per atom
magnetization = 0.0 μB/cell

Lattice parameters (Å, degrees): 5.914 5.914 5.914 60.00 60.00 60.00
Atoms (fractional coordinates):
Ac  0.500  0.500  0.500
Th  0.000  0.000  0.000
Nd  0.250  0.250  0.250
Nd  0.750  0.750  0.750